(1)
Computed, not measured: Hg2SbCl after structural relaxation at the PBEsol level of DFT.

a = 4.051 Å, b = 4.174 Å, c = 7.565 Å
α = 101.83°, β = 105.53°, γ = 90.00°
Sites, in units of the cell vectors:
Sb 0.504 0.544 0.009
Hg 0.006 0.047 0.012
Hg 0.689 0.828 0.378
Cl 0.301 0.081 0.601

## Properties
- crystal system = monoclinic
- space-group type = Cm
- ΔE_f (raw) (eV/atom) = -0.15
- distance to the lowest polymorph of the same formula (meV/atom) = 0

***

(2)
Computed, not measured: HgSb2Cl after structural relaxation at the PBEsol level of DFT.

a = 3.316 Å, b = 5.597 Å, c = 5.581 Å
α = 90.00°, β = 90.00°, γ = 90.00°
Sites, in units of the cell vectors:
Sb 0.000 0.876 0.000
Sb 0.500 0.871 0.500
Hg 0.500 0.371 0.500
Cl 0.000 0.382 0.000

## Properties
- crystal system = orthorhombic
- space-group type = Pmm2
- ΔE_f (raw) (eV/atom) = -0.12
- distance to the lowest polymorph of the same formula (meV/atom) = 0

***

no.,magnetic moment (μB per atom)
1,0.000
2,0.000